Pu2InHg6 (PBE, optimized geometry); formation enthalpy at 0 K = -0.04 eV/atom; SG = C2/m; raw total energy = -3.7328 eV per atom
1.0
6.0538 -0.0167 -0.0096
0.0429 6.6446 0.0187
0.0429 3.3266 5.7519
Hg In Pu
6 1 2
Cartesian
4.1148 1.8210 1.0539 Hg
2.0111 5.1450 4.7080 Hg
2.0248 8.1336 4.7071 Hg
4.1285 3.3092 3.6455 Hg
2.0111 6.6454 2.1154 Hg
4.1285 4.8096 1.0530 Hg
0.0000 0.0000 0.0000 In
5.1021 6.6226 3.8327 Pu
1.0376 3.3320 1.9283 Pu

=====

Pu3InHg2 (PBE, optimized geometry); formation enthalpy at 0 K = -0.15 eV/atom; SG = P4/mmm; raw total energy = -7.8759 eV per atom
1.0
-0.2497 3.1832 0.2781
-3.0737 -0.3156 0.8517
3.9629 -0.9092 13.9648
Pu In Hg
3 1 2
Cartesian
1.3135 -0.3013 4.6286 Pu
2.6494 -0.6078 9.3361 Pu
0.0000 0.0000 0.0000 Pu
0.3197 0.9792 7.5473 In
1.6452 0.6751 12.2183 Hg
-1.0058 1.2833 2.8763 Hg

=====

Pu2In5Hg12 (PBE, optimized geometry); formation enthalpy at 0 K = -0.02 eV/atom; SG = C2/m; raw total energy = -2.4398 eV per atom
1.0
-2.0001 -1.8012 -5.2431
6.0829 -7.7628 -3.7532
-2.7229 -10.1854 0.4382
Hg In Pu
12 5 2
Cartesian
0.8924 -17.2477 -8.0943 Hg
-0.9799 -14.0715 -5.2909 Hg
2.1503 -7.8348 -5.6624 Hg
-1.9810 -8.9714 -3.6959 Hg
0.4675 -2.5017 -0.4639 Hg
2.3398 -5.6780 -3.2673 Hg
0.3652 -11.0398 -5.6138 Hg
0.9947 -8.7096 -2.9443 Hg
-1.2430 -6.6636 -1.5619 Hg
3.3409 -10.7781 -4.8622 Hg
-0.7904 -11.9147 -2.8958 Hg
2.6029 -13.0858 -6.9962 Hg
1.6972 -15.6832 -5.4992 In
-0.7209 -7.1283 -5.6348 In
-1.0000 -0.9006 -2.6215 In
-0.3373 -4.0663 -3.0589 In
2.0808 -12.6211 -2.9234 In
-0.9966 -9.7105 -0.3835 Pu
4.3566 -8.2378 -2.9315 Pu

=====

PuIn5Hg4 (PBE, optimized geometry); formation enthalpy at 0 K = -0.06 eV/atom; SG = P-1; raw total energy = -2.9794 eV per atom
1.0
4.9071 0.0072 -1.2694
-0.4525 6.7959 -1.7810
-0.3595 -1.4425 8.7046
In Hg Pu
5 4 1
Cartesian
2.2273 3.4016 -1.5252 In
3.4968 4.8759 3.3542 In
3.0087 2.4409 1.5043 In
0.5983 0.4847 2.3001 In
1.0864 2.9197 4.1500 In
4.1753 3.4175 5.9766 Hg
-0.0802 1.9431 -0.3224 Hg
1.3236 -0.2674 5.1006 Hg
2.7714 5.6280 0.5536 Hg
2.4536 0.0036 -0.6347 Pu

=====

Pu2InHg8 (PBE, optimized geometry); formation enthalpy at 0 K = -0.08 eV/atom; SG = P4/mmm; raw total energy = -3.1553 eV per atom
1.0
-0.6364 -4.9131 -0.3932
4.7790 -0.5186 -1.2612
2.8579 -1.2790 11.3550
Hg Pu In
8 2 1
Cartesian
4.8358 -1.3541 9.0894 Hg
1.1107 -3.0961 5.4809 Hg
0.0933 -2.6407 1.4384 Hg
2.1281 -3.5514 9.5234 Hg
2.8010 -0.4435 1.0044 Hg
3.8184 -0.8988 5.0469 Hg
4.0216 -3.5887 6.9220 Hg
2.9788 -3.1220 2.7786 Hg
1.9525 -0.8738 7.7579 Pu
0.9053 -0.4052 3.5971 Pu
0.0000 0.0000 0.0000 In

=====

PuIn7Hg4 (PBE, optimized geometry); formation enthalpy at 0 K = 0.05 eV/atom; SG = C2/m; raw total energy = -2.8462 eV per atom
1.0
-1.2678 0.2593 6.0977
2.4869 -7.5621 4.0248
4.6811 3.5789 4.0072
In Hg Pu
7 4 1
Cartesian
3.6436 0.5783 10.2914 In
3.8793 -5.3725 10.5935 In
4.3155 -2.5205 7.3767 In
2.2566 -4.3022 3.8383 In
-0.6339 0.1297 3.0488 In
2.0209 1.6486 3.5362 In
1.5847 -1.2034 6.7530 In
4.0960 0.6248 7.1973 Hg
3.7927 -2.3539 10.4471 Hg
2.1075 -1.3701 3.6826 Hg
1.8042 -4.3487 6.9324 Hg
0.0000 0.0000 0.0000 Pu

=====

PuIn2Hg9 (PBE, optimized geometry); formation enthalpy at 0 K = -0.04 eV/atom; SG = Pmmm; raw total energy = -1.9125 eV per atom
1.0
4.9020 0.0000 0.0000
0.0000 4.3920 0.0000
0.0000 0.0000 14.5571
In Hg Pu
2 9 1
Cartesian
0.0000 0.0000 9.6766 In
0.0000 0.0000 4.8805 In
0.0000 2.1960 12.1373 Hg
2.4510 2.1960 0.0000 Hg
2.4510 0.0000 7.2785 Hg
0.0000 2.1960 7.2785 Hg
2.4510 2.1960 9.7507 Hg
0.0000 2.1960 2.4198 Hg
2.4510 2.1960 4.8064 Hg
2.4510 0.0000 2.3588 Hg
2.4510 0.0000 12.1983 Hg
0.0000 0.0000 0.0000 Pu

=====

Pu3In4Hg2 (PBE, optimized geometry); formation enthalpy at 0 K = -0.19 eV/atom; SG = C2/c; raw total energy = -6.2476 eV per atom
1.0
-0.3493 4.7005 -4.2607
-7.9974 2.4674 3.3760
-0.4199 6.0381 6.6940
In Pu Hg
8 6 4
Cartesian
-1.8524 7.7909 4.0073 In
-6.7330 3.0584 3.9241 In
-1.5532 3.4432 3.9196 In
-6.9142 5.4151 1.8019 In
-4.5127 8.6028 5.1260 In
-2.0336 10.1475 1.8850 In
-7.2135 9.7627 1.8896 In
-4.2539 4.6031 0.6832 In
-4.4706 7.7781 1.8394 Pu
-4.2960 5.4278 3.9697 Pu
-1.5174 2.6178 0.6442 Pu
-7.2492 10.5881 5.1650 Pu
-7.0770 8.2367 7.2943 Pu
-1.6896 4.9693 -1.4851 Pu
-4.0769 2.2463 2.8035 Hg
-4.6897 10.9597 3.0057 Hg
-7.0485 7.4156 4.0267 Hg
-1.7181 5.7904 1.7824 Hg

=====

Pu4In15Hg (PBE, optimized geometry); formation enthalpy at 0 K = -0.15 eV/atom; SG = P4/mmm; raw total energy = -5.0883 eV per atom
1.0
-0.4248 -1.1711 -4.4614
3.9843 -2.3505 0.2377
-11.9068 -19.5486 6.2657
In Pu Hg
15 4 1
Cartesian
2.5502 -4.9417 -1.3501 In
-6.1658 -10.3598 0.9022 In
-2.9983 -9.6054 0.4025 In
-8.5175 -14.2209 2.1397 In
-5.3490 -13.4648 1.6395 In
-10.8976 -18.1285 3.3921 In
-6.3130 -14.8106 4.4892 In
1.7797 -1.7608 -2.1118 In
-1.6096 -7.0885 2.0141 In
-8.6930 -18.7182 5.7416 In
0.3457 -4.3520 -3.6997 In
-3.9613 -10.9495 3.2517 In
-3.8141 -6.4988 -0.3354 In
-7.6730 -17.2802 2.8624 In
-0.6744 -5.7900 -0.8204 In
-2.4163 -3.9671 1.2715 Pu
-5.9310 -19.1031 0.7705 Pu
-4.7813 -7.8501 2.5161 Pu
-3.5660 -15.2201 -0.4741 Pu
0.0000 0.0000 0.0000 Hg

=====

PuIn12Hg7 (PBE, optimized geometry); formation enthalpy at 0 K = 0.01 eV/atom; SG = R-3; raw total energy = -2.4539 eV per atom
1.0
-4.6989 3.7823 6.0568
-4.9700 -0.1978 -6.9519
0.7854 -8.1440 2.4754
Pu In Hg
1 12 7
Cartesian
0.0000 0.0000 0.0000 Pu
-3.5892 -1.0604 -4.0700 In
-8.4624 0.5201 -0.5622 In
-5.2944 -3.4993 5.6502 In
-3.5753 -4.4442 3.0499 In
-5.3082 -0.1154 -1.4697 In
-4.9960 -6.6460 -1.7522 In
-5.0340 -3.4189 -2.1922 In
-0.4211 -5.0797 2.1424 In
-3.8495 -1.1407 3.7724 In
-6.2134 0.2551 1.7789 In
-2.6701 -4.8147 -0.1987 In
-3.8876 2.0864 3.3324 In
-6.8213 -2.5025 2.9984 Hg
-1.4557 -2.0335 2.0594 Hg
-7.4278 -2.5261 -0.4792 Hg
-5.7630 -5.2429 1.0406 Hg
-4.4418 -2.2798 0.7901 Hg
-2.0622 -2.0571 -1.4182 Hg
-3.1205 0.6833 0.5396 Hg

=====

Pu2InHg2 (PBE, optimized geometry); formation enthalpy at 0 K = -0.18 eV/atom; SG = Cmmm; raw total energy = -6.5805 eV per atom
1.0
3.1188 0.0000 0.0000
0.0000 4.8666 -1.4035
0.0000 -0.2709 8.2082
Pu In Hg
2 1 2
Cartesian
1.5594 1.6898 5.8696 Pu
1.5594 2.9059 0.9350 Pu
0.0000 0.0000 0.0000 In
0.0000 0.8620 2.9895 Hg
0.0000 3.7337 3.8152 Hg

=====

PuIn6Hg8 (PBE, optimized geometry); formation enthalpy at 0 K = 0.02 eV/atom; SG = R-3; raw total energy = -2.1946 eV per atom
1.0
-7.1996 -0.6655 2.0431
0.8189 -1.9024 7.2223
-1.0915 6.6697 3.2826
Hg In Pu
8 6 1
Cartesian
-5.1542 5.4029 5.4152 Hg
-2.3179 -1.3011 7.1328 Hg
-1.0856 2.1200 8.9111 Hg
-6.3866 1.9818 3.6369 Hg
-5.8496 3.2111 9.8233 Hg
-6.2903 -0.6445 6.7155 Hg
-1.1818 4.7463 5.8325 Hg
-1.6225 0.8907 2.7246 Hg
-4.1422 0.1722 4.7639 In
-1.3903 1.4235 5.9935 In
-4.0974 0.8080 8.3475 In
-3.3747 3.2938 4.2005 In
-6.0818 2.6783 6.5545 In
-3.3299 3.9296 7.7841 In
0.0000 0.0000 0.0000 Pu